## TaCoTeO6 (PBE+U)

Data for TaCoTeO6 after structural relaxation.

Geometry as POSCAR:
```
TaCoTeO6
1.0
5.3305 0.0000 0.0000
-2.6653 4.6164 0.0000
0.0000 0.0000 9.0301
Ta Co Te O
2 2 2 12
direct
0.3333 0.6667 0.2500
0.6667 0.3333 0.7500
0.0000 0.0000 0.0000
0.0000 0.0000 0.5000
0.3333 0.6667 0.7500
0.6667 0.3333 0.2500
0.0079 0.3526 0.1310
0.0079 0.6554 0.3690
0.3446 0.3526 0.3690
0.3446 0.9921 0.1310
0.3526 0.0079 0.6310
0.3526 0.3446 0.8690
0.6474 0.6554 0.1310
0.6474 0.9921 0.3690
0.6554 0.0079 0.8690
0.6554 0.6474 0.6310
0.9921 0.3446 0.6310
0.9921 0.6474 0.8690
```

## Properties
Calculated total energy: -127.81 eV/cell